Computed, not measured: crystalline Nd2SnTe at its relaxed geometry at the GGA-PBE level of DFT.

Results
Energy relative to the lowest polymorph listed for this composition   14 meV/atom
E_form (uncorrected)   -4.5 eV/f.u.
E_tot   -0.3896 Ry/atom
D(E_F)   0.288 states/eV/atom
Volume   523.9 Å³/cell

Cell: 7.8824 7.8254 10.0836 Å, 104.95 105.18 109.43°
Closest atoms and distances in Å follow each position.
Fractional coordinates of all 16 atoms:
Nd: 0.5651 0.3099 0.1249  3 Sn 3.17, 3 Te 3.22-3.24
Nd: 0.9402 0.1850 0.8751  3 Sn 3.17, 3 Te 3.22-3.24
Nd: 0.0598 0.8150 0.1249  3 Sn 3.17, 3 Te 3.22-3.24
Nd: 0.8219 0.5664 0.6253  3 Sn 3.17-3.18, 3 Te 3.22-3.24
Nd: 0.4349 0.6901 0.8751  3 Sn 3.17, 3 Te 3.22-3.24
Nd: 0.3034 0.0589 0.6253  3 Sn 3.17-3.18, 3 Te 3.22-3.24
Nd: 0.6966 0.9411 0.3747  3 Sn 3.17-3.18, 3 Te 3.22-3.24
Nd: 0.1781 0.4336 0.3747  3 Sn 3.17-3.18, 3 Te 3.22-3.24
Te: 0.3141 0.5642 0.1283  6 Nd 3.22-3.24
Te: 0.6859 0.4358 0.8717  6 Nd 3.22-3.24
Te: 0.4392 0.1892 0.3784  6 Nd 3.22-3.24
Te: 0.5608 0.8108 0.6216  6 Nd 3.22-3.24
Sn: 0.8105 0.0605 0.1210  6 Nd 3.17-3.18
Sn: 0.0645 0.3145 0.6289  6 Nd 3.17-3.18
Sn: 0.9355 0.6855 0.3711  6 Nd 3.17-3.18
Sn: 0.1895 0.9395 0.8790  6 Nd 3.17-3.18

---

Computed, not measured: crystalline NdSnTe at its relaxed geometry at the GGA-PBE level of DFT.

Results
E_form (uncorrected)   -2.7 eV/f.u.
E_tot   -0.3581 Ry/atom
D(E_F)   0.437 states/eV/atom
Volume   190.2 Å³/cell

Cell: 4.2913 4.2913 10.9623 Å, 103.81 103.81 88.96°
Closest atoms and distances in Å follow each position.
Fractional coordinates of all 6 atoms:
Te: 0.3223 0.3223 0.1165  5 Nd 3.16-3.39
Te: 0.6777 0.6777 0.8835  5 Nd 3.16-3.39
Sn: 0.7236 0.7236 0.4701  4 Sn 3.02-3.23, 1 Nd 3.29
Sn: 0.2764 0.2764 0.5299  4 Sn 3.02-3.23, 1 Nd 3.29
Nd: 0.1184 0.1184 0.7884  5 Te 3.16-3.39, 2 Sn 3.29-3.52
Nd: 0.8816 0.8816 0.2116  5 Te 3.16-3.39, 2 Sn 3.29-3.52

---

Computed, not measured: crystalline Nd2SnTe at its relaxed geometry at the GGA-PBE level of DFT.

Results
Energy relative to the lowest polymorph listed for this composition   24 meV/atom
E_form (uncorrected)   -4.5 eV/f.u.
E_tot   -0.3888 Ry/atom
D(E_F)   0.369 states/eV/atom
Volume   131.5 Å³/cell

Cell: 4.5168 4.5168 7.8860 Å, 73.36 73.36 60.00°
Closest atoms and distances in Å follow each position.
Fractional coordinates of all 4 atoms:
Nd: 0.7470 0.7470 0.7590  3 Sn 3.16, 3 Te 3.24
Nd: 0.2530 0.2530 0.2410  3 Sn 3.16, 3 Te 3.24
Te: 0.5000 0.5000 0.5000  6 Nd 3.24
Sn: 0.0000 0.0000 0.0000  6 Nd 3.16

---

Computed, not measured: crystalline Nd5Sn2Te2 at its relaxed geometry at the GGA-PBE level of DFT.

Results
Energy relative to the lowest polymorph listed for this composition   0 meV/atom
E_form (uncorrected)   -9.5 eV/f.u.
E_tot   -0.3889 Ry/atom
D(E_F)   0.921 states/eV/atom
Volume   558.1 Å³/cell

Cell: 8.3937 8.3376 8.9984 Å, 117.60 90.00 90.00°
Closest atoms and distances in Å follow each position.
Fractional coordinates of all 18 atoms:
Nd: 0.3342 0.6964 0.7300  3 Sn 3.21-3.32, 3 Te 3.27-3.31
Nd: 0.8342 0.5336 0.7300  3 Sn 3.21-3.32, 3 Te 3.27-3.31
Nd: 0.8342 0.8036 0.2700  3 Sn 3.21-3.32, 3 Te 3.27-3.31
Nd: 0.6658 0.0336 0.7300  3 Sn 3.21-3.32, 3 Te 3.27-3.31
Nd: 0.0000 0.0000 0.0000  2 Te 3.22, 4 Sn 3.26-3.29
Nd: 0.6658 0.3036 0.2700  3 Sn 3.21-3.32, 3 Te 3.27-3.31
Nd: 0.5000 0.5000 0.0000  2 Te 3.22, 4 Sn 3.26-3.29
Nd: 0.1658 0.1964 0.7300  3 Sn 3.21-3.32, 3 Te 3.27-3.31
Nd: 0.1658 0.4664 0.2700  3 Sn 3.21-3.32, 3 Te 3.27-3.31
Nd: 0.3342 0.9664 0.2700  3 Sn 3.21-3.32, 3 Te 3.27-3.31
Te: 0.5000 0.7016 0.4032  7 Nd 3.22-3.31
Te: 0.5000 0.2984 0.5968  7 Nd 3.22-3.31
Te: 0.0000 0.7984 0.5968  7 Nd 3.22-3.31
Te: 0.0000 0.2016 0.4032  7 Nd 3.22-3.31
Sn: 0.1311 0.6317 0.0000  1 Sn 3.11, 8 Nd 3.21-3.32
Sn: 0.6311 0.8683 0.0000  1 Sn 3.11, 8 Nd 3.21-3.32
Sn: 0.3689 0.1317 0.0000  1 Sn 3.11, 8 Nd 3.21-3.32
Sn: 0.8689 0.3683 0.0000  1 Sn 3.11, 8 Nd 3.21-3.32

---

Question: Number 2 is which compound?
Answer: NdSnTe

---

Question: Which value of D(E_F) does entry 1 give?
Answer: 0.288 states/eV/atom

---

Question: Look up the E_form (uncorrected) of the fourth one.
Answer: -9.5 eV/f.u.